(1)
PmHfAgPb after structural relaxation. Source: the Alexandria database, functional GGA-PBE.

Properties
For the volume, the calculation gives 97.92 Å³ per cell. As for the space group: F-43m. The energy of formation comes out at -78 meV/atom.

Lattice parameters (Å, degrees): 5.174 5.174 5.174 60.00 60.00 60.00
Element x y z (fractional)
Pm (0.250, 0.250, 0.250)
Hf (0.750, 0.750, 0.750)
Pb (0.000, 0.000, 0.000)
Ag (0.500, 0.500, 0.500)



(2)
Cs2ZrNiS4 after structural relaxation. Source: the Alexandria database, functional GGA-PBE.

Properties
For the volume, the calculation gives 540.65 Å³ per cell. As for the space group: Fddd. The calculation puts the formation energy without anion corrections at -1.1239 eV per atom.

Lattice parameters (Å, degrees): 5.883 7.741 13.167 85.13 77.09 67.66
Site moments in Bohr magnetons follow the coordinates.
Element x y z (fractional)
Cs (0.824, 0.000, 0.353)  0.01
Cs (0.574, 0.500, 0.853)  0.01
Cs (0.926, 0.500, 0.147)  0.01
Cs (0.176, 0.000, 0.647)  0.01
S (0.524, 0.317, 0.599)  0.13
S (0.873, 0.817, 0.901)  0.13
S (0.309, 0.817, 0.099)  0.13
S (0.226, 0.183, 0.901)  0.13
S (0.591, 0.183, 0.099)  0.13
S (0.159, 0.317, 0.401)  0.13
S (0.441, 0.683, 0.401)  0.13
S (0.877, 0.683, 0.599)  0.13
Ni (0.500, 0.000, 0.000)  1.12
Ni (0.250, 0.500, 0.500)  1.12
Zr (0.750, 0.500, 0.500)  -0.03
Zr (0.000, 0.000, 0.000)  -0.03



(3)
TbPuAu4 after structural relaxation. Source: the Alexandria database, functional GGA-PBE.

Properties
For the volume, the calculation gives 131.42 Å³ per cell. As for the space group: P4/mmm. The energy of formation comes out at -633 meV/atom. The calculation puts the polymorph energy (0 for the lowest one) at 0 meV/atom.

Lattice parameters (Å, degrees): 3.767 3.767 9.262 90.00 90.00 90.00
Site moments in Bohr magnetons follow the coordinates.
Element x y z (fractional)
Au (0.000, 0.000, 0.338)  0.00
Au (0.500, 0.500, 0.828)  0.01
Au (0.000, 0.000, 0.662)  0.00
Au (0.500, 0.500, 0.172)  0.01
Pu (0.000, 0.000, 0.000)  5.21
Tb (0.500, 0.500, 0.500)  -0.02



(4)
Rh3W after structural relaxation. Source: the Alexandria database, functional GGA-PBE.

Properties
For the volume, the calculation gives 58.98 Å³ per cell. As for the space group: R-3m. The energy of formation comes out at -13 meV/atom.

Lattice parameters (Å, degrees): 9.058 9.058 9.058 17.55 17.55 17.55
Site moments in Bohr magnetons follow the coordinates.
Element x y z (fractional)
Rh (0.251, 0.251, 0.251)  0.09
Rh (0.500, 0.500, 0.500)  0.52
Rh (0.749, 0.749, 0.749)  0.09
W (0.000, 0.000, 0.000)  -0.01



(5)
LaIn2Au2 after structural relaxation. Source: the Alexandria database, functional GGA-PBE.

Properties
For the volume, the calculation gives 253.65 Å³ per cell. As for the space group: P4/mbm. The energy of formation comes out at -405 meV/atom.

Lattice parameters (Å, degrees): 7.784 7.784 4.186 90.00 90.00 90.00
Element x y z (fractional)
In (0.676, 0.824, 0.500)
In (0.324, 0.176, 0.500)
In (0.824, 0.324, 0.500)
In (0.176, 0.676, 0.500)
Au (0.627, 0.127, 0.000)
Au (0.127, 0.373, 0.000)
Au (0.873, 0.627, 0.000)
Au (0.373, 0.873, 0.000)
La (0.500, 0.500, 0.000)
La (0.000, 0.000, 0.000)



(6)
GaRe3Te after structural relaxation. Source: the Alexandria database, functional GGA-PBE.

Properties
For the volume, the calculation gives 114.55 Å³ per cell. As for the space group: Pm-3m. The calculation puts the formation energy without anion corrections at 2.5277 eV per atom. The calculation puts the polymorph energy (0 for the lowest one) at 550 meV/atom.

Lattice parameters (Å, degrees): 4.857 4.857 4.857 90.00 90.00 90.00
Site moments in Bohr magnetons follow the coordinates.
Element x y z (fractional)
Re (0.000, 0.000, 0.500)  0.85
Re (0.000, 0.500, 0.000)  0.72
Re (0.500, 0.000, 0.000)  0.75
Te (0.000, 0.000, 0.000)  -0.03
Ga (0.500, 0.500, 0.500)  0.03



(7)
RbTl2Pb after structural relaxation. Source: the Alexandria database, functional GGA-PBE.

Properties
For the volume, the calculation gives 363.04 Å³ per cell. As for the space group: I-42d. The energy of formation comes out at 93 meV/atom. The calculation puts the polymorph energy (0 for the lowest one) at 193 meV/atom.

Lattice parameters (Å, degrees): 5.775 5.775 11.627 75.62 75.62 90.00
Element x y z (fractional)
Tl (0.375, 0.236, 0.750)
Tl (0.875, 0.014, 0.750)
Tl (0.986, 0.625, 0.250)
Tl (0.764, 0.125, 0.250)
Rb (0.500, 0.500, 0.000)
Rb (0.250, 0.750, 0.500)
Pb (0.000, 0.000, 0.000)
Pb (0.750, 0.250, 0.500)



(8)
LaTaGa2 after structural relaxation. Source: the Alexandria database, functional GGA-PBE.

Properties
For the volume, the calculation gives 85.15 Å³ per cell. As for the space group: Fm-3m. The energy of formation comes out at -18 meV/atom. The calculation puts the polymorph energy (0 for the lowest one) at 0 meV/atom.

Lattice parameters (Å, degrees): 4.938 4.938 4.938 60.00 60.00 60.00
Site moments in Bohr magnetons follow the coordinates.
Element x y z (fractional)
Ta (0.500, 0.500, 0.500)  0.87
Ga (0.250, 0.250, 0.250)  -0.01
Ga (0.750, 0.750, 0.750)  -0.01
La (0.000, 0.000, 0.000)  0.08